No. 1
Compound: Cs2Tl5Hg
Source: Alexandria via LeMat-Bulk
Functional: GGA-PBE
Structure: optimized geometry

Unit cell a=5.4044 b=10.5208 c=11.6621 alpha=90.00 beta=90.00 gamma=104.88
Closest atoms and distances in Å follow each position.
Fractional coordinates of all 16 atoms:
Tl (0.8101, 0.6201, 0.3876)  4 Tl 3.17-3.31
Tl (0.6024, 0.2049, 0.7500)  1 Hg 3.20, 2 Tl 3.31
Tl (0.8101, 0.6201, 0.1124)  4 Tl 3.17-3.31
Tl (0.6569, 0.3137, 0.4822)  4 Tl 3.17-3.31, 1 Hg 3.41
Tl (0.6569, 0.3137, 0.0178)  4 Tl 3.17-3.31, 1 Hg 3.41
Tl (0.3431, 0.6863, 0.5178)  4 Tl 3.17-3.31, 1 Hg 3.41
Tl (0.3431, 0.6863, 0.9822)  4 Tl 3.17-3.31, 1 Hg 3.41
Tl (0.1899, 0.3799, 0.8876)  4 Tl 3.17-3.31
Tl (0.1899, 0.3799, 0.6124)  4 Tl 3.17-3.31
Tl (0.3976, 0.7951, 0.2500)  1 Hg 3.20, 2 Tl 3.31
Cs (0.0000, 0.0000, 0.0000)  10 Tl 4.08-4.49, 4 Hg 4.13
Cs (0.8103, 0.6205, 0.7500)  2 Hg 3.85, 11 Tl 3.88-4.23
Cs (0.0000, 0.0000, 0.5000)  10 Tl 4.08-4.49, 4 Hg 4.13
Cs (0.1897, 0.3795, 0.2500)  2 Hg 3.85, 11 Tl 3.88-4.23
Hg (0.5551, 0.1102, 0.2500)  3 Tl 3.20-3.41
Hg (0.4449, 0.8898, 0.7500)  3 Tl 3.20-3.41

Summary:
Its formation energy is -0.103 eV/atom. Its total energy is -29.32 eV/cell. Its space group is Cmcm (63). The calculation puts the calculated density at 7.71 g cm⁻³. The total magnetization is 0.00 Bohr magnetons per cell.

=====

No. 2
Compound: Cs5Tl2Hg12
Source: Alexandria via LeMat-Bulk
Functional: GGA-PBE
Structure: optimized geometry

Unit cell a=8.6377 b=8.8457 c=11.1240 alpha=66.57 beta=77.67 gamma=90.00
Closest atoms and distances in Å follow each position.
Fractional coordinates of all 19 atoms:
Hg (0.3493, 0.4238, 0.8034)  3 Hg 3.09-3.19, 1 Tl 3.25
Hg (0.6507, 0.5762, 0.1966)  3 Hg 3.09-3.19, 1 Tl 3.25
Hg (0.0407, 0.8949, 0.2101)  2 Hg 3.26, 2 Tl 3.28
Hg (0.7119, 0.3873, 0.7109)  3 Hg 3.11-3.26
Hg (0.2881, 0.0981, 0.2891)  3 Hg 3.11-3.26
Hg (0.6507, 0.2272, 0.1966)  3 Hg 3.09-3.19, 1 Tl 3.25
Hg (0.9593, 0.1051, 0.7899)  2 Hg 3.26, 2 Tl 3.28
Hg (0.7259, 0.5425, 0.9150)  4 Hg 3.11-3.19, 2 Tl 3.38
Hg (0.2741, 0.4575, 0.0850)  4 Hg 3.11-3.19, 2 Tl 3.38
Hg (0.2881, 0.6127, 0.2891)  3 Hg 3.11-3.26
Hg (0.3493, 0.7728, 0.8034)  3 Hg 3.09-3.19, 1 Tl 3.25
Hg (0.7119, 0.9019, 0.7109)  3 Hg 3.11-3.26
Cs (0.0697, 0.6997, 0.6006)  8 Hg 3.79-4.05
Cs (0.3969, 0.2209, 0.5582)  9 Hg 3.77-4.13
Cs (0.9303, 0.3003, 0.3994)  8 Hg 3.79-4.05
Cs (0.6031, 0.7791, 0.4418)  9 Hg 3.77-4.13
Cs (0.5000, 0.0000, 0.0000)  10 Hg 3.76-4.05
Tl (0.0000, 0.7298, 0.0000)  6 Hg 3.25-3.38
Tl (0.0000, 0.2702, 0.0000)  6 Hg 3.25-3.38

Summary:
Its formation energy is -0.190 eV/atom. Its total energy is -16.23 eV/cell. Its space group is C2/m (12). The calculation puts the calculated density at 7.62 g cm⁻³. The total magnetization is 0.00 Bohr magnetons per cell.

=====

No. 3
Compound: Cs6TlHg
Source: Alexandria via LeMat-Bulk
Functional: GGA-PBE
Structure: optimized geometry

Unit cell a=5.2016 b=11.3714 c=11.3714 alpha=96.39 beta=90.00 gamma=90.00
Closest atoms and distances in Å follow each position.
Fractional coordinates of all 8 atoms:
Cs (0.5000, 0.9159, 0.6633)  1 Hg 3.85, 2 Tl 4.14
Cs (0.0000, 0.5243, 0.7844)  2 Hg 4.02, 1 Tl 4.34
Cs (0.0000, 0.6640, 0.3360)  10 Cs 5.14-5.51
Cs (0.0000, 0.2156, 0.4757)  2 Hg 4.02, 1 Tl 4.34
Cs (0.5000, 0.9354, 0.0646)  2 Tl 4.53, 2 Cs 4.54
Cs (0.5000, 0.3367, 0.0841)  1 Hg 3.85, 2 Tl 4.14
Tl (0.0000, 0.1544, 0.8456)  2 Hg 3.10
Hg (0.5000, 0.2537, 0.7463)  2 Tl 3.10

Summary:
Its formation energy is -0.062 eV/atom. Its total energy is -8.28 eV/cell. Its space group is Amm2 (38). The calculation puts the calculated density at 2.99 g cm⁻³. The total magnetization is 0.00 Bohr magnetons per cell.

=====

No. 4
Compound: CsTl3Hg
Source: Alexandria via LeMat-Bulk
Functional: GGA-PBE
Structure: optimized geometry

Unit cell a=5.3450 b=5.3449 c=7.6034 alpha=69.43 beta=69.42 gamma=89.97
Closest atoms and distances in Å follow each position.
Fractional coordinates of all 5 atoms:
Cs (0.4049, 0.2084, 0.8955)  4 Hg 4.07, 12 Tl 4.10-4.30
Tl (0.7839, 0.5874, 0.1371)  1 Hg 3.11, 4 Tl 3.21
Tl (0.6497, 0.9530, 0.4063)  2 Hg 3.17, 2 Tl 3.21
Tl (0.1494, 0.4530, 0.4063)  2 Hg 3.17, 2 Tl 3.21
Hg (0.0200, 0.8233, 0.6659)  5 Tl 3.11-3.17

Summary:
Its formation energy is -0.112 eV/atom. Its total energy is -8.81 eV/cell. Its space group is I4mm (107). The calculation puts the calculated density at 8.34 g cm⁻³. The total magnetization is 0.00 Bohr magnetons per cell.

=====

No. 5
Compound: CsTl4Hg5
Source: Alexandria via LeMat-Bulk
Functional: GGA-PBE
Structure: optimized geometry

Unit cell a=4.1878 b=4.1878 c=18.1612 alpha=90.00 beta=90.00 gamma=90.00
Closest atoms and distances in Å follow each position.
Fractional coordinates of all 10 atoms:
Hg (0.5000, 0.5000, 0.1381)  1 Hg 3.27, 4 Tl 3.34
Hg (0.5000, 0.5000, 0.5000)  2 Hg 3.30, 8 Tl 3.40
Hg (0.5000, 0.5000, 0.6819)  2 Hg 3.27-3.30, 8 Tl 3.38-3.43
Hg (0.5000, 0.5000, 0.8619)  1 Hg 3.27, 4 Tl 3.34
Hg (0.5000, 0.5000, 0.3181)  2 Hg 3.27-3.30, 8 Tl 3.38-3.43
Tl (0.0000, 0.0000, 0.2226)  8 Hg 3.34-3.43, 1 Tl 3.37
Tl (0.0000, 0.0000, 0.5917)  2 Tl 3.33-3.37, 8 Hg 3.38-3.40
Tl (0.0000, 0.0000, 0.7774)  8 Hg 3.34-3.43, 1 Tl 3.37
Tl (0.0000, 0.0000, 0.4083)  2 Tl 3.33-3.37, 8 Hg 3.38-3.40
Cs (0.0000, 0.0000, 0.0000)  8 Hg 3.88, 2 Tl 4.04, 4 Cs 4.19

Summary:
Its formation energy is -0.067 eV/atom. Its total energy is -12.50 eV/cell. Its space group is P4/mmm (123). The calculation puts the calculated density at 10.18 g cm⁻³. The total magnetization is 0.00 Bohr magnetons per cell.

=====

No. 6
Compound: Cs5TlHg4
Source: Alexandria via LeMat-Bulk
Functional: GGA-PBE
Structure: optimized geometry

Unit cell a=5.1607 b=9.3821 c=12.5606 alpha=91.76 beta=101.85 gamma=90.00
Closest atoms and distances in Å follow each position.
Fractional coordinates of all 10 atoms:
Cs (0.5000, 0.5000, 0.0000)  4 Hg 3.96
Cs (0.1796, 0.6799, 0.3591)  4 Hg 3.89-4.01
Cs (0.1247, 0.1570, 0.2494)  5 Hg 3.85-4.10, 2 Tl 4.24
Cs (0.8204, 0.3201, 0.6409)  4 Hg 3.89-4.01
Cs (0.8753, 0.8430, 0.7506)  5 Hg 3.85-4.10, 2 Tl 4.24
Hg (0.9688, 0.1874, 0.9375)  2 Tl 3.23
Hg (0.0312, 0.8126, 0.0625)  2 Tl 3.23
Hg (0.7182, 0.9785, 0.4364)  2 Hg 3.04
Hg (0.2818, 0.0215, 0.5636)  2 Hg 3.04
Tl (0.5000, 0.0000, 0.0000)  4 Hg 3.23

Summary:
Its formation energy is -0.162 eV/atom. Its total energy is -9.46 eV/cell. Its space group is C2/m (12). The calculation puts the calculated density at 4.67 g cm⁻³. The total magnetization is 0.00 Bohr magnetons per cell.

=====

No. 7
Compound: Cs3Tl3Hg2
Source: Alexandria via LeMat-Bulk
Functional: GGA-PBE
Structure: optimized geometry

Unit cell a=4.9498 b=7.5978 c=20.1542 alpha=90.00 beta=90.00 gamma=109.01
Closest atoms and distances in Å follow each position.
Fractional coordinates of all 16 atoms:
Cs (0.0374, 0.0748, 0.6033)  3 Hg 3.93-4.15, 7 Tl 4.13-4.31, 1 Cs 4.30
Cs (0.3547, 0.7094, 0.7500)  4 Hg 3.94, 5 Tl 3.94-4.38
Cs (0.6453, 0.2906, 0.2500)  4 Hg 3.94, 5 Tl 3.94-4.38
Cs (0.0374, 0.0748, 0.8967)  3 Hg 3.93-4.15, 7 Tl 4.13-4.31, 1 Cs 4.30
Cs (0.9626, 0.9252, 0.3967)  3 Hg 3.93-4.15, 7 Tl 4.13-4.31, 1 Cs 4.30
Cs (0.9626, 0.9252, 0.1033)  3 Hg 3.93-4.15, 7 Tl 4.13-4.31, 1 Cs 4.30
Tl (0.6410, 0.2820, 0.7500)  2 Hg 3.08
Tl (0.6784, 0.3568, 0.4659)  3 Hg 3.17-3.23, 2 Tl 3.50
Tl (0.6784, 0.3568, 0.0341)  3 Hg 3.17-3.23, 2 Tl 3.50
Tl (0.3216, 0.6432, 0.9659)  3 Hg 3.17-3.23, 2 Tl 3.50
Tl (0.3590, 0.7180, 0.2500)  2 Hg 3.08
Tl (0.3216, 0.6432, 0.5341)  3 Hg 3.17-3.23, 2 Tl 3.50
Hg (0.2509, 0.5019, 0.1181)  4 Tl 3.08-3.23
Hg (0.2509, 0.5019, 0.3819)  4 Tl 3.08-3.23
Hg (0.7491, 0.4981, 0.6181)  4 Tl 3.08-3.23
Hg (0.7491, 0.4981, 0.8819)  4 Tl 3.08-3.23

Summary:
Its formation energy is -0.126 eV/atom. Its total energy is -22.55 eV/cell. Its space group is Cmcm (63). The calculation puts the calculated density at 6.55 g cm⁻³. The total magnetization is 0.00 Bohr magnetons per cell.

=====

No. 8
Compound: CsTlHg2
Source: Alexandria via LeMat-Bulk
Functional: GGA-PBE
Structure: optimized geometry

Unit cell a=4.5284 b=5.7654 c=5.7654 alpha=90.00 beta=90.00 gamma=90.00
Closest atoms and distances in Å follow each position.
Fractional coordinates of all 4 atoms:
Hg (0.0000, 0.5000, 0.0000)  4 Tl 3.67, 4 Cs 3.67, 4 Hg 4.08
Hg (0.0000, 0.0000, 0.5000)  4 Tl 3.67, 4 Cs 3.67, 4 Hg 4.08
Cs (0.5000, 0.5000, 0.5000)  8 Hg 3.67, 4 Tl 4.08
Tl (0.5000, 0.0000, 0.0000)  8 Hg 3.67, 4 Cs 4.08

Summary:
Its formation energy is -0.072 eV/atom. Its total energy is -4.11 eV/cell. Its space group is P4/mmm (123). The calculation puts the calculated density at 8.15 g cm⁻³. The total magnetization is 0.00 Bohr magnetons per cell.